DFT (PBE with a Hubbard U) results for crystalline Sr2ErCoO5 at its relaxed geometry.

**SG**: No. 36
**Raw total energy**: -119.9 eV per cell
**Crystal system**: orthorhombic

abc: 6.8920 6.8920 11.1263
angles: 90.00 90.00 150.99
Closest atoms and distances in Å follow each position.
Fractional coordinates of all 18 atoms:
Sr1 0.0961 0.9039 0.5000  4 O 2.46-2.52
Sr2 0.1476 0.8524 0.1255  7 O 2.51-2.66
Sr3 0.8524 0.1476 0.6255  7 O 2.51-2.66
Sr4 0.9039 0.0961 0.0000  4 O 2.46-2.52
Er1 0.2059 0.7941 0.8376  6 O 2.20-2.29
Er2 0.7941 0.2059 0.3376  6 O 2.20-2.29
Co1 0.4804 0.5196 0.2630  5 O 1.85-2.07
Co2 0.5196 0.4804 0.7630  5 O 1.85-2.07
O1 0.0410 0.9590 0.8466  2 Co 1.98, 1 Er 2.20
O2 0.2787 0.7213 0.4703  2 Er 2.28, 1 Sr 2.46
O3 0.3314 0.6686 0.2106  1 Co 2.07, 2 Er 2.29
O4 0.3743 0.6257 0.8056  1 Co 2.00
O5 0.4876 0.5124 0.6008  1 Co 1.85
O6 0.5124 0.4876 0.1008  1 Co 1.85
O7 0.6257 0.3743 0.3056  1 Co 2.00
O8 0.6686 0.3314 0.7106  1 Co 2.07, 2 Er 2.29
O9 0.7213 0.2787 0.9703  2 Er 2.28, 1 Sr 2.46
O10 0.9590 0.0410 0.3466  2 Co 1.98, 1 Er 2.20